(1)
A relaxed structure of Na2MnCdS, computed with PBE-GGA.

Geometry as CIF:
```
data_Na2MnCdS
_chemical_formula_sum 'Na2 Mn1 Cd1 S1'
_symmetry_space_group_name_H-M 'P 1'
_symmetry_Int_Tables_number 1
_symmetry_space_group_name_Hall 'P 1'
_cell_length_a 5.5095
_cell_length_b 5.1336
_cell_length_c 5.5095
_cell_angle_alpha 90.00
_cell_angle_beta 90.00
_cell_angle_gamma 90.00
loop_
_atom_site_label
_atom_site_type_symbol
_atom_site_fract_x
_atom_site_fract_y
_atom_site_fract_z
Na1 Na 0.0000 0.0000 0.5000
Na2 Na 0.5000 0.0000 0.0000
S1 S 0.5000 0.5000 0.5000
Mn1 Mn 0.0000 0.0000 0.0000
Cd1 Cd 0.0000 0.5000 0.0000
```

Output
- VASP energy: -2.7581 eV per atom
- Energy relative to the elements, uncorrected: 612 meV/atom
- SG: P4/mmm (123)

=====

(2)
A relaxed structure of Zr4TlBi, computed with PBE-GGA.

Geometry as CIF:
```
data_Zr4TlBi
_chemical_formula_sum 'Zr8 Tl2 Bi2'
_symmetry_space_group_name_H-M 'P 1'
_symmetry_Int_Tables_number 1
_symmetry_space_group_name_Hall 'P 1'
_cell_length_a 8.2802
_cell_length_b 5.7459
_cell_length_c 7.1618
_cell_angle_alpha 121.19
_cell_angle_beta 90.00
_cell_angle_gamma 90.00
loop_
_atom_site_label
_atom_site_type_symbol
_atom_site_fract_x
_atom_site_fract_y
_atom_site_fract_z
Zr1 Zr 0.1533 0.9154 0.3461
Zr2 Zr 0.3467 0.4154 0.3461
Zr3 Zr 0.8487 0.5983 0.1603
Zr4 Zr 0.3487 0.9017 0.8397
Zr5 Zr 0.6513 0.0983 0.1603
Zr6 Zr 0.1513 0.4017 0.8397
Zr7 Zr 0.6533 0.5846 0.6539
Zr8 Zr 0.8467 0.0846 0.6539
Tl1 Tl 0.0000 0.5000 0.5000
Tl2 Tl 0.5000 0.0000 0.5000
Bi1 Bi 0.5000 0.5000 0.0000
Bi2 Bi 0.0000 0.0000 0.0000
```

Output
- VASP energy: -6.6979 eV per atom
- Formation energy from the elements: 4 kJ/mol of atoms
- SG: P2_1/c (14)

=====

Q: Among the records above, which one has the lowest VASP energy?
A: Zr4TlBi

=====

Q: Number 2 is which compound?
A: Zr4TlBi

=====

Repeat the first record exactly.
A relaxed structure of Na2MnCdS, computed with PBE-GGA.

Geometry as CIF:
```
data_Na2MnCdS
_chemical_formula_sum 'Na2 Mn1 Cd1 S1'
_symmetry_space_group_name_H-M 'P 1'
_symmetry_Int_Tables_number 1
_symmetry_space_group_name_Hall 'P 1'
_cell_length_a 5.5095
_cell_length_b 5.1336
_cell_length_c 5.5095
_cell_angle_alpha 90.00
_cell_angle_beta 90.00
_cell_angle_gamma 90.00
loop_
_atom_site_label
_atom_site_type_symbol
_atom_site_fract_x
_atom_site_fract_y
_atom_site_fract_z
Na1 Na 0.0000 0.0000 0.5000
Na2 Na 0.5000 0.0000 0.0000
S1 S 0.5000 0.5000 0.5000
Mn1 Mn 0.0000 0.0000 0.0000
Cd1 Cd 0.0000 0.5000 0.0000
```

Output
- VASP energy: -2.7581 eV per atom
- Energy relative to the elements, uncorrected: 612 meV/atom
- SG: P4/mmm (123)